# 1
First-principles (PBEsol) data for a geometry-optimized KSr2Fe structure, as listed in Alexandria.

```
KSr2Fe
1.0
3.8565 0.0000 0.0000
0.0000 3.8565 0.0000
0.0000 0.0000 10.8079
K Sr Fe
1 2 1
direct
0.0000 0.0000 0.0000
0.0000 0.0000 0.6346
0.5000 0.5000 0.3383
0.5000 0.5000 0.7870
```

## Properties
mass density: 2.8 Mg/m³
electronic total energy: -11.01 eV per cell


# 2
First-principles (PBEsol) data for a geometry-optimized CeInAu2 structure, as listed in Alexandria.

```
CeInAu2
1.0
0.0000 3.4882 3.4882
3.4882 0.0000 3.4882
3.4882 3.4882 0.0000
Ce In Au
1 1 2
direct
0.0000 0.0000 0.0000
0.5000 0.5000 0.5000
0.2500 0.2500 0.2500
0.7500 0.7500 0.7500
```

## Properties
mass density: 12.7 Mg/m³
electronic total energy: -19.87 eV per cell


# 3
First-principles (PBEsol) data for a geometry-optimized TlRe2Os structure, as listed in Alexandria.

```
TlRe2Os
1.0
-1.9231 1.9231 4.2538
1.9231 -1.9231 4.2538
1.9231 1.9231 -4.2538
Tl Re Os
1 2 1
direct
0.0000 0.0000 0.0000
0.2500 0.7500 0.5000
0.7500 0.2500 0.5000
0.5000 0.5000 0.0000
```

## Properties
mass density: 20.2 Mg/m³
electronic total energy: -37.93 eV per cell


# 4
First-principles (PBEsol) data for a geometry-optimized Ta2CdRh structure, as listed in Alexandria.

```
Ta2CdRh
1.0
2.8526 0.0000 0.0000
0.0000 2.8526 0.0000
0.0000 0.0000 8.2637
Ta Cd Rh
2 1 1
direct
0.0000 0.0000 0.2247
0.0000 0.0000 0.7753
0.5000 0.5000 0.5000
0.5000 0.5000 0.0000
```

## Properties
mass density: 14.3 Mg/m³
electronic total energy: -34.79 eV per cell


# 5
First-principles (PBEsol) data for a geometry-optimized BSbS2Br structure, as listed in Alexandria.

```
BSbS2Br
1.0
4.8969 0.0000 0.0000
0.0000 4.8969 0.0000
0.0000 0.0000 4.2063
B Sb S Br
1 1 2 1
direct
0.0000 0.0000 0.0000
0.5000 0.5000 0.0000
0.0000 0.5000 0.5000
0.5000 0.0000 0.5000
0.0000 0.0000 0.5000
```

## Properties
mass density: 4.6 Mg/m³
electronic total energy: -15.44 eV per cell
formation energy (no corrections): 1354 meV/atom


# 6
First-principles (PBEsol) data for a geometry-optimized TcAg2P structure, as listed in Alexandria.

```
TcAg2P
1.0
0.0000 3.0873 3.0873
3.0873 0.0000 3.0873
3.0873 3.0873 0.0000
Tc Ag P
1 2 1
direct
0.0000 0.0000 0.0000
0.5000 0.5000 0.5000
0.7500 0.7500 0.7500
0.2500 0.2500 0.2500
```

## Properties
mass density: 9.7 Mg/m³
electronic total energy: -22.01 eV per cell


# 7
First-principles (PBEsol) data for a geometry-optimized CeB4ClO8 structure, as listed in Alexandria.

```
CeB4ClO8
1.0
3.2407 -5.6106 0.0000
3.2407 5.6106 0.0000
-2.6209 0.0000 8.8332
Ce B Cl O
2 8 2 16
direct
0.1974 0.8026 0.5000
0.8026 0.1974 0.0000
0.1333 0.2502 0.5941
0.2502 0.1333 0.0941
0.3755 0.8504 0.1622
0.5057 0.5625 0.0725
0.5625 0.5057 0.5725
0.7508 0.9516 0.6498
0.8504 0.3755 0.6622
0.9516 0.7508 0.1498
0.3238 0.9677 0.8151
0.9677 0.3238 0.3151
0.0125 0.9723 0.0944
0.0928 0.4359 0.6348
0.1121 0.6639 0.1054
0.2816 0.3495 0.0604
0.3495 0.2816 0.5604
0.4117 0.8552 0.3211
0.4359 0.0928 0.1348
0.5257 0.7855 0.0864
0.5426 0.7047 0.5721
0.6639 0.1121 0.6054
0.7047 0.5426 0.0721
0.7855 0.5257 0.5864
0.8022 0.9853 0.8120
0.8552 0.4117 0.8211
0.9723 0.0125 0.5944
0.9853 0.8022 0.3120
```

## Properties
mass density: 3.6 Mg/m³
electronic total energy: -223.21 eV per cell
formation energy (no corrections): -2353 meV/atom


# 8
First-principles (PBEsol) data for a geometry-optimized ZnRe2Br structure, as listed in Alexandria.

```
ZnRe2Br
1.0
-1.3920 2.4038 4.7138
1.3920 -2.4038 4.7138
1.3920 2.4038 -4.7138
Zn Re Br
1 2 1
direct
0.0000 0.0000 0.0000
0.2512 0.7512 0.5000
0.7488 0.2488 0.5000
0.5000 0.5000 0.0000
```

## Properties
mass density: 13.6 Mg/m³
electronic total energy: -26.20 eV per cell
formation energy (no corrections): 979 meV/atom


# 9
First-principles (PBEsol) data for a geometry-optimized ScCd2Ru structure, as listed in Alexandria.

```
ScCd2Ru
1.0
-1.9790 1.9790 4.4456
1.9790 -1.9790 4.4456
1.9790 1.9790 -4.4456
Sc Cd Ru
1 2 1
direct
0.0000 0.0000 0.0000
0.2500 0.7500 0.5000
0.7500 0.2500 0.5000
0.5000 0.5000 0.0000
```

## Properties
mass density: 8.8 Mg/m³
electronic total energy: -20.03 eV per cell


# 10
First-principles (PBEsol) data for a geometry-optimized CrCuAs2 structure, as listed in Alexandria.

```
CrCuAs2
1.0
1.4949 0.8631 7.3460
-1.4949 0.8631 7.3460
0.0000 -1.7261 7.3460
Cr Cu As
1 1 2
direct
0.0000 0.0000 0.0000
0.5000 0.5000 0.5000
0.2550 0.2550 0.2550
0.7450 0.7450 0.7450
```

## Properties
mass density: 7.7 Mg/m³
electronic total energy: -24.51 eV per cell


# 11
First-principles (PBEsol) data for a geometry-optimized SiMoW structure, as listed in Alexandria.

```
SiMoW
1.0
0.0000 2.2287 6.0344
1.6215 0.0000 6.0344
1.6215 2.2287 0.0000
Si Mo W
1 1 1
direct
0.0000 0.0000 0.0000
0.6592 0.6592 0.3408
0.3385 0.3385 0.6615
```

## Properties
mass density: 11.7 Mg/m³
electronic total energy: -31.40 eV per cell
formation energy (no corrections): -26 meV/atom


# 12
First-principles (PBEsol) data for a geometry-optimized BaLi2Ca2 structure, as listed in Alexandria.

```
BaLi2Ca2
1.0
9.3389 0.0000 0.0000
0.0000 9.3389 0.0000
0.0000 0.0000 4.1634
Ba Li Ca
2 4 4
direct
0.0000 0.0000 0.0000
0.5000 0.5000 0.0000
0.1268 0.3732 0.0000
0.3732 0.8732 0.0000
0.6268 0.1268 0.0000
0.8732 0.6268 0.0000
0.1598 0.6598 0.5000
0.3402 0.1598 0.5000
0.6598 0.8402 0.5000
0.8402 0.3402 0.5000
```

## Properties
mass density: 2.1 Mg/m³
electronic total energy: -20.35 eV per cell


# 13
First-principles (PBEsol) data for a geometry-optimized CaTiAl3 structure, as listed in Alexandria.

```
CaTiAl3
1.0
4.9357 0.0000 0.0000
0.0000 4.9357 0.0000
0.0000 0.0000 4.9357
Ca Ti Al
1 1 3
direct
0.0000 0.0000 0.0000
0.5000 0.5000 0.5000
0.0000 0.5000 0.5000
0.5000 0.0000 0.5000
0.5000 0.5000 0.0000
```

## Properties
mass density: 2.3 Mg/m³
electronic total energy: -21.31 eV per cell


# 14
First-principles (PBEsol) data for a geometry-optimized CsDyS2 structure, as listed in Alexandria.

```
CsDyS2
1.0
4.0281 0.0000 0.0000
-2.0140 3.4884 0.0000
0.0000 0.0000 15.8288
Cs Dy S
2 2 4
direct
0.3333 0.6667 0.2500
0.6667 0.3333 0.7500
0.0000 0.0000 0.0000
0.0000 0.0000 0.5000
0.3333 0.6667 0.5920
0.3333 0.6667 0.9080
0.6667 0.3333 0.0920
0.6667 0.3333 0.4080
```

## Properties
mass density: 5.4 Mg/m³
electronic total energy: -44.41 eV per cell
formation energy (no corrections): -1879 meV/atom


# 15
First-principles (PBEsol) data for a geometry-optimized Cr2Tc structure, as listed in Alexandria.

```
Cr2Tc
1.0
1.4458 -6.1203 0.0000
1.4458 6.1203 0.0000
0.0000 0.0000 4.1217
Cr Tc
4 2
direct
0.0919 0.9081 0.7500
0.2540 0.7460 0.2500
0.7460 0.2540 0.7500
0.9081 0.0919 0.2500
0.4173 0.5827 0.7500
0.5827 0.4173 0.2500
```

## Properties
mass density: 9.2 Mg/m³
electronic total energy: -63.19 eV per cell


# 16
First-principles (PBEsol) data for a geometry-optimized HfPtS2N structure, as listed in Alexandria.

```
HfPtS2N
1.0
4.8025 0.0000 0.0000
0.0000 4.8025 0.0000
0.0000 0.0000 3.6280
Hf Pt S N
1 1 2 1
direct
0.0000 0.0000 0.0000
0.5000 0.5000 0.5000
0.0000 0.5000 0.5000
0.5000 0.0000 0.5000
0.5000 0.5000 0.0000
```

## Properties
mass density: 9.0 Mg/m³
electronic total energy: -33.50 eV per cell
formation energy (no corrections): 253 meV/atom


# 17
First-principles (PBEsol) data for a geometry-optimized BeBr3 structure, as listed in Alexandria.

```
BeBr3
1.0
3.2997 0.0000 0.0000
-1.6499 2.8576 0.0000
0.0000 0.0000 10.1311
Be Br
1 3
direct
0.0000 0.0000 0.0000
0.0000 0.0000 0.5000
0.3333 0.6667 0.1511
0.3333 0.6667 0.8489
```

## Properties
mass density: 4.3 Mg/m³
electronic total energy: -10.55 eV per cell
formation energy (no corrections): -235 meV/atom


# 18
First-principles (PBEsol) data for a geometry-optimized SiB3Te structure, as listed in Alexandria.

```
SiB3Te
1.0
4.1005 0.0000 0.0000
0.0000 4.1005 0.0000
0.0000 0.0000 4.1005
Si B Te
1 3 1
direct
0.0000 0.0000 0.0000
0.0000 0.0000 0.5000
0.0000 0.5000 0.0000
0.5000 0.0000 0.0000
0.5000 0.5000 0.5000
```

## Properties
mass density: 4.5 Mg/m³
electronic total energy: -23.34 eV per cell
formation energy (no corrections): 1396 meV/atom


# 19
First-principles (PBEsol) data for a geometry-optimized Cs3Li2AlMo4O16 structure, as listed in Alexandria.

```
Cs3Li2AlMo4O16
1.0
-6.0469 6.0469 6.0381
6.0469 -6.0469 6.0381
6.0469 6.0469 -6.0381
Cs Li Al Mo O
6 4 2 8 32
direct
0.0000 0.0000 0.0000
0.2364 0.6250 0.1114
0.3750 0.4864 0.6114
0.5136 0.1250 0.8886
0.7500 0.2500 0.5000
0.8750 0.7636 0.3886
0.9996 0.1250 0.3746
0.3750 0.0004 0.1254
0.7504 0.6250 0.6254
0.8750 0.2496 0.8746
0.2500 0.7500 0.5000
0.5000 0.5000 0.0000
0.1258 0.6768 0.7455
0.1303 0.1813 0.7545
0.3232 0.0687 0.4490
0.4268 0.3758 0.2455
0.6197 0.8742 0.5510
0.6242 0.8697 0.0510
0.8187 0.5732 0.9490
0.9313 0.3803 0.2545
0.0084 0.1292 0.5627
0.0570 0.2455 0.8750
0.0802 0.5843 0.3329
0.1286 0.0143 0.7497
0.1290 0.5146 0.7503
0.1835 0.1208 0.3792
0.1958 0.8165 0.9373
0.2513 0.7473 0.6671
0.2527 0.9198 0.5040
0.2646 0.3790 0.2503
0.3343 0.3302 0.8329
0.3705 0.1820 0.1250
0.3795 0.0045 0.3115
0.4157 0.7487 0.4960
0.4854 0.2357 0.6144
0.4973 0.5013 0.1671
0.4987 0.6657 0.9960
0.5542 0.9916 0.1208
0.5665 0.4458 0.4373
0.6214 0.8710 0.3856
0.6210 0.8714 0.8856
0.6698 0.5027 0.0040
0.6930 0.0680 0.6885
0.7416 0.8042 0.6208
0.7545 0.6295 0.8115
0.7643 0.3786 0.2497
0.8180 0.9430 0.1885
0.8708 0.4335 0.8792
0.8792 0.2584 0.0627
0.9320 0.6205 0.6250
0.9857 0.7354 0.1144
0.9955 0.3070 0.3750
```

## Properties
mass density: 4.1 Mg/m³
electronic total energy: -398.92 eV per cell
formation energy (no corrections): -2213 meV/atom


# 20
First-principles (PBEsol) data for a geometry-optimized LaCl structure, as listed in Alexandria.

```
LaCl
1.0
4.0522 0.0000 0.0000
0.0000 4.0522 0.0000
0.0000 0.0000 5.7494
La Cl
2 2
direct
0.2500 0.2500 0.2495
0.7500 0.7500 0.7505
0.2500 0.2500 0.7496
0.7500 0.7500 0.2504
```

## Properties
mass density: 6.1 Mg/m³
electronic total energy: -21.19 eV per cell
formation energy (no corrections): -1621 meV/atom


# 21
First-principles (PBEsol) data for a geometry-optimized Pr5Ge3 structure, as listed in Alexandria.

```
Pr5Ge3
1.0
8.8085 0.0000 0.0000
-4.4043 7.6284 0.0000
0.0000 0.0000 6.6529
Pr Ge
10 6
direct
0.0000 0.2473 0.2500
0.0000 0.7527 0.7500
0.2473 0.0000 0.2500
0.2473 0.2473 0.7500
0.3333 0.6667 0.0000
0.3333 0.6667 0.5000
0.6667 0.3333 0.0000
0.6667 0.3333 0.5000
0.7527 0.0000 0.7500
0.7527 0.7527 0.2500
0.0000 0.3921 0.7500
0.0000 0.6079 0.2500
0.3921 0.0000 0.7500
0.3921 0.3921 0.2500
0.6079 0.0000 0.2500
0.6079 0.6079 0.7500
```

## Properties
mass density: 6.9 Mg/m³
electronic total energy: -92.68 eV per cell


# 22
First-principles (PBEsol) data for a geometry-optimized GaSBrN2 structure, as listed in Alexandria.

```
GaSBrN2
1.0
3.6845 0.0000 0.0000
0.0000 3.6845 0.0000
0.0000 0.0000 6.6651
Ga S Br N
1 1 1 2
direct
0.0000 0.0000 0.0000
0.5000 0.5000 0.0000
0.5000 0.5000 0.5000
0.0000 0.5000 0.5000
0.5000 0.0000 0.5000
```

## Properties
mass density: 3.8 Mg/m³
electronic total energy: -17.79 eV per cell
formation energy (no corrections): 1772 meV/atom


# 23
First-principles (PBEsol) data for a geometry-optimized KBe2Tc structure, as listed in Alexandria.

```
KBe2Tc
1.0
4.6823 0.0000 0.0000
0.0000 4.6823 0.0000
0.0000 0.0000 2.5822
K Be Tc
1 2 1
direct
0.0000 0.0000 0.0000
0.0000 0.5000 0.5000
0.5000 0.0000 0.5000
0.5000 0.5000 0.0000
```

## Properties
mass density: 4.6 Mg/m³
electronic total energy: -16.61 eV per cell


# 24
First-principles (PBEsol) data for a geometry-optimized CsMg2SbBr structure, as listed in Alexandria.

```
CsMg2SbBr
1.0
5.4382 0.0000 0.0000
0.0000 5.4382 0.0000
0.0000 0.0000 6.1729
Cs Mg Sb Br
1 2 1 1
direct
0.0000 0.0000 0.0000
0.0000 0.5000 0.5000
0.5000 0.0000 0.5000
0.5000 0.5000 0.0000
0.0000 0.0000 0.5000
```

## Properties
mass density: 3.5 Mg/m³
electronic total energy: -10.67 eV per cell
formation energy (no corrections): 27 meV/atom